[1]
First-principles (PBE-GGA) data for a geometry-optimized Li2YCl structure, as listed in Alexandria.

Output
**Formation energy (no corrections)**: -65.9 kJ/mol of atoms

Unit cell a=3.6510 b=5.7643 c=8.8494 alpha=90.00 beta=90.00 gamma=90.00
Space group Cmmm (No. 65)
One atom of each set of equivalent atoms:
Li 0.0000 0.0000 0.1773 [4 per cell]
Y 0.0000 0.5000 0.5000 [2 per cell]
Cl 0.0000 0.5000 0.0000 [2 per cell]

---

[2]
First-principles (PBE-GGA) data for a geometry-optimized LiYCl structure, as listed in Alexandria.

Output
**Formation energy (no corrections)**: -8.6 kJ/mol of atoms

Unit cell a=6.8909 b=6.8909 c=6.8909 alpha=90.00 beta=90.00 gamma=90.00
Space group F-43m (No. 216)
One atom of each set of equivalent atoms:
Li 0.0000 0.0000 0.0000 [4 per cell]
Y 0.2500 0.2500 0.7500 [4 per cell]
Cl 0.0000 0.0000 0.5000 [4 per cell]

---

[3]
First-principles (PBE-GGA) data for a geometry-optimized Li5Y3Cl12 structure, as listed in Alexandria.

Output
**Formation energy (no corrections)**: -179.5 kJ/mol of atoms

Unit cell a=15.2000 b=15.2000 c=15.2000 alpha=90.00 beta=90.00 gamma=90.00
Space group Ia-3d (No. 230)
One atom of each set of equivalent atoms:
Li 0.0000 0.0000 0.0000 [16 per cell]
Li 0.0000 0.2500 0.3750 [24 per cell]
Y 0.0000 0.2500 0.1250 [24 per cell]
Cl 0.0270 0.0634 0.6534 [96 per cell]

---

[4]
First-principles (PBE-GGA) data for a geometry-optimized LiY4Cl structure, as listed in Alexandria.

Output
**Formation energy (no corrections)**: 37.1 kJ/mol of atoms

Unit cell a=9.3648 b=9.3648 c=9.3648 alpha=90.00 beta=90.00 gamma=90.00
Space group F-43m (No. 216)
One atom of each set of equivalent atoms:
Li 0.0000 0.0000 0.0000 [4 per cell]
Y 0.1262 0.1262 0.6262 [16 per cell]
Cl 0.2500 0.2500 0.2500 [4 per cell]

---

[5]
First-principles (PBE-GGA) data for a geometry-optimized Li2YCl structure, as listed in Alexandria.

Output
**Formation energy (no corrections)**: -60.2 kJ/mol of atoms

Unit cell a=3.2418 b=3.2418 c=8.4508 alpha=90.00 beta=90.00 gamma=90.00
Space group P4/mmm (No. 123)
One atom of each set of equivalent atoms:
Li 0.0000 0.0000 0.1743 [2 per cell]
Y 0.5000 0.5000 0.5000 [1 per cell]
Cl 0.5000 0.5000 0.0000 [1 per cell]

---

[6]
First-principles (PBE-GGA) data for a geometry-optimized Li2YCl structure, as listed in Alexandria.

Output
**Formation energy (no corrections)**: -56.1 kJ/mol of atoms

Unit cell a=3.7283 b=5.7923 c=8.6499 alpha=90.00 beta=90.00 gamma=90.00
Space group Cmm2 (No. 35)
One atom of each set of equivalent atoms:
Li 0.0000 0.0000 0.0000 [2 per cell]
Li 0.0000 0.5000 0.2647 [2 per cell]
Y 0.0000 0.0000 0.5497 [2 per cell]
Cl 0.0000 0.5000 0.8165 [2 per cell]

---

[7]
First-principles (PBE-GGA) data for a geometry-optimized Li2YCl structure, as listed in Alexandria.

Output
**Formation energy (no corrections)**: -43.4 kJ/mol of atoms

Unit cell a=5.4065 b=10.8813 c=3.4564 alpha=90.00 beta=90.00 gamma=90.00
Space group Cmmm (No. 65)
One atom of each set of equivalent atoms:
Li 0.2500 0.2500 0.0000 [4 per cell]
Y 0.0000 0.0000 0.5000 [2 per cell]
Cl 0.0000 0.5000 0.5000 [2 per cell]

---

[8]
First-principles (PBE-GGA) data for a geometry-optimized Li3YCl structure, as listed in Alexandria.

Output
**Formation energy (no corrections)**: 70.4 kJ/mol of atoms

Unit cell a=6.0905 b=6.0905 c=6.0905 alpha=90.00 beta=90.00 gamma=90.00
Space group Pm-3m (No. 221)
One atom of each set of equivalent atoms:
Li 0.0000 0.0000 0.5000 [3 per cell]
Y 0.0000 0.0000 0.0000 [1 per cell]
Cl 0.5000 0.5000 0.5000 [1 per cell]

---

[9]
First-principles (PBE-GGA) data for a geometry-optimized Li2YCl structure, as listed in Alexandria.

Output
**Formation energy (no corrections)**: -49.2 kJ/mol of atoms

Unit cell a=3.1790 b=5.1025 c=10.7463 alpha=90.00 beta=90.00 gamma=90.00
Space group Immm (No. 71)
One atom of each set of equivalent atoms:
Li 0.0000 0.0000 0.2128 [4 per cell]
Y 0.0000 0.5000 0.0000 [2 per cell]
Cl 0.0000 0.5000 0.5000 [2 per cell]

---

[10]
First-principles (PBE-GGA) data for a geometry-optimized LiYCl structure, as listed in Alexandria.

Output
**Formation energy (no corrections)**: -84.4 kJ/mol of atoms

Unit cell a=3.5431 b=3.5431 c=6.6254 alpha=90.00 beta=90.00 gamma=120.00
Space group P3m1 (No. 156)
One atom of each set of equivalent atoms:
Li 0.0000 0.0000 0.0000 [1 per cell]
Y 0.6667 0.3333 0.4223 [1 per cell]
Cl 0.3333 0.6667 0.7327 [1 per cell]

---

[11]
First-principles (PBE-GGA) data for a geometry-optimized LiYCl structure, as listed in Alexandria.

Output
**Formation energy (no corrections)**: -70.8 kJ/mol of atoms

Unit cell a=3.3636 b=3.3636 c=13.0702 alpha=90.00 beta=90.00 gamma=90.00
Space group I4mm (No. 107)
One atom of each set of equivalent atoms:
Li 0.0000 0.0000 0.0000 [2 per cell]
Y 0.0000 0.0000 0.3098 [2 per cell]
Cl 0.0000 0.0000 0.6768 [2 per cell]

---

[12]
First-principles (PBE-GGA) data for a geometry-optimized Li2YCl structure, as listed in Alexandria.

Output
**Formation energy (no corrections)**: -46.2 kJ/mol of atoms

Unit cell a=8.0886 b=8.0886 c=5.5669 alpha=90.00 beta=90.00 gamma=90.00
Space group I-42d (No. 122)
One atom of each set of equivalent atoms:
Li 0.1761 0.7500 0.1250 [8 per cell]
Y 0.0000 0.0000 0.5000 [4 per cell]
Cl 0.0000 0.0000 0.0000 [4 per cell]

---

The lowest formation energy (no corrections) belongs to which entry? Li5Y3Cl12